## V6O7F5 (PBE with a Hubbard U)

Data for an optimized crystal structure of V6O7F5.

Lattice parameters (Å, degrees): 4.6921 9.3015 4.7039 90.00 92.71 90.00
Last column: nearest neighbours and their distance in Å.
Atoms (fractional coordinates):
V (0.0000, 0.0000, 0.0000)  4 O 1.92-1.94, 2 F 2.05-2.06
V (0.0262, 0.3247, 0.9695)  4 O 1.94-2.03, 1 F 2.15
V (0.0262, 0.6753, 0.9695)  4 O 1.94-2.03, 1 F 2.15
V (0.4577, 0.5000, 0.4748)  3 O 1.89-1.98, 1 F 2.06
V (0.4918, 0.1733, 0.5039)  3 O 1.92-1.98, 3 F 2.08-2.13
V (0.4918, 0.8267, 0.5039)  3 O 1.92-1.98, 3 F 2.08-2.13
O (0.1859, 0.5000, 0.1655)  3 V 1.89-2.00
O (0.2019, 0.1556, 0.1866)  3 V 1.92-2.03
O (0.2019, 0.8444, 0.1866)  3 V 1.92-2.03
O (0.3045, 0.3318, 0.6773)  3 V 1.92-1.98
O (0.3045, 0.6682, 0.6773)  3 V 1.92-1.98
O (0.8068, 0.1570, 0.7986)  3 V 1.94-2.02
O (0.8068, 0.8430, 0.7986)  3 V 1.94-2.02
F (0.2987, 0.0000, 0.6962)  3 V 2.05-2.08
F (0.6980, 0.3341, 0.2810)  3 V 2.09-2.18
F (0.6980, 0.6659, 0.2810)  3 V 2.09-2.18
F (0.6987, 0.0000, 0.3034)  3 V 2.06-2.13
F (0.8023, 0.5000, 0.7639)  3 V 2.06-2.15

Results
electronic total energy = -130.87 eV/f.u.
V = 205.1 Å³ per cell